The following is a PBE calculation of a relaxed KLiTh2Se4 crystal, from Alexandria.

Lattice parameters (Å, degrees): 4.257 7.418 14.890 90.00 90.00 106.68
Fractional positions:
K 0.109 0.217 0.750
K 0.891 0.783 0.250
Se 0.000 0.000 0.500
Se 0.430 0.860 0.750
Se 0.267 0.535 0.387
Se 0.733 0.465 0.613
Se 0.570 0.140 0.250
Se 0.267 0.535 0.113
Se 0.733 0.465 0.887
Se 0.000 0.000 0.000
Th 0.628 0.256 0.442
Th 0.372 0.744 0.558
Th 0.372 0.744 0.942
Th 0.628 0.256 0.058
Li 0.163 0.325 0.250
Li 0.837 0.675 0.750

The formation energy (no corrections) is -1.521 eV/atom. The space group is Cmcm. As for the volume: 450.5 Å³/cell. Its total moment is 0.0 μB per cell.

---

The following is a PBE calculation of a relaxed LiMnW2 crystal, from Alexandria.

Lattice parameters (Å, degrees): 4.234 4.234 4.234 60.00 60.00 60.00
Fractional positions:
W 0.750 0.750 0.750
W 0.250 0.250 0.250
Mn 0.500 0.500 0.500
Li 0.000 0.000 0.000

As for the formation energy: 0.4560 eV/atom. The space group is Fm-3m. As for the volume: 53.7 Å³/cell. Its total moment is 0.0 μB per cell.

---

The following is a PBE calculation of a relaxed NaErGe crystal, from Alexandria.

Lattice parameters (Å, degrees): 4.830 4.830 9.262 74.88 74.88 60.00
Fractional positions:
Er 0.709 0.709 0.873
Er 0.291 0.291 0.127
Ge 0.596 0.596 0.211
Ge 0.404 0.404 0.789
Na 0.876 0.876 0.373
Na 0.124 0.124 0.627

As for the formation energy: -0.2827 eV/atom. The space group is R-3m. As for the volume: 178.5 Å³/cell. Its total moment is 0.0 μB per cell.

---

The following is a PBE calculation of a relaxed Ag2AuF8 crystal, from Alexandria.

Lattice parameters (Å, degrees): 4.402 6.345 6.345 72.54 88.37 88.37
Fractional positions:
F 0.752 0.398 0.398
F 0.757 0.835 0.835
F 0.239 0.103 0.718
F 0.243 0.165 0.165
F 0.761 0.282 0.897
F 0.761 0.897 0.282
F 0.248 0.602 0.602
F 0.239 0.718 0.103
Ag 0.743 0.624 0.624
Ag 0.257 0.376 0.376
Au 0.000 0.000 0.000

The formation energy (no corrections) is -1.038 eV/atom. The space group is C2/m. As for the volume: 168.9 Å³/cell. Its total moment is 0.0 μB per cell.

---

The following is a PBE calculation of a relaxed ScMo2Pb crystal, from Alexandria.

Lattice parameters (Å, degrees): 2.968 2.968 9.274 90.00 90.00 107.70
Fractional positions:
Mo 0.000 0.000 0.998
Mo 0.000 0.000 0.502
Sc 0.500 0.500 0.750
Pb 0.500 0.500 0.250

As for the formation energy: 0.5476 eV/atom. The space group is Cmmm. As for the volume: 77.9 Å³/cell. Its total moment is 0.0 μB per cell.

---

The following is a PBE calculation of a relaxed SmAlZn2Au5 crystal, from Alexandria.

Lattice parameters (Å, degrees): 4.765 5.880 7.797 112.15 107.79 90.00
Fractional positions:
Au 0.349 0.587 0.698
Au 0.651 0.413 0.302
Au 0.651 0.889 0.302
Au 0.349 0.111 0.698
Au 0.000 0.000 0.000
Al 0.500 0.000 0.000
Zn 0.812 0.812 0.624
Zn 0.188 0.188 0.376
Sm 0.000 0.500 0.000

As for the formation energy: -0.2598 eV/atom. The space group is Immm. As for the volume: 191.0 Å³/cell. Its total moment is 0.0 μB per cell.

---

The following is a PBE calculation of a relaxed CaMg2Cl crystal, from Alexandria.

Lattice parameters (Å, degrees): 5.582 5.582 5.582 60.00 60.00 60.00
Fractional positions:
Mg 0.750 0.750 0.750
Mg 0.250 0.250 0.250
Ca 0.500 0.500 0.500
Cl 0.000 0.000 0.000

The formation energy (no corrections) is -0.091 eV/atom. The space group is Fm-3m. As for the volume: 123.0 Å³/cell. Its total moment is 0.0 μB per cell.

---

The following is a PBE calculation of a relaxed Al3TcO crystal, from Alexandria.

Lattice parameters (Å, degrees): 4.013 4.013 4.013 90.00 90.00 90.00
Site moments in Bohr magnetons follow the coordinates.
Fractional positions:
Al 0.500 0.000 0.000  0.00
Al 0.000 0.000 0.500  -0.01
Al 0.000 0.500 0.000  -0.01
O 0.000 0.000 0.000  0.01
Tc 0.500 0.500 0.500  0.97

The formation energy (no corrections) is -0.613 eV/atom. The space group is Pm-3m. As for the volume: 64.6 Å³/cell. Its total moment is 1.1 μB per cell.

---

The following is a PBE calculation of a relaxed Si2TcSe crystal, from Alexandria.

Lattice parameters (Å, degrees): 4.440 4.440 4.440 121.95 121.95 86.66
Fractional positions:
Si 0.250 0.750 0.500
Si 0.000 0.000 0.000
Tc 0.500 0.500 0.000
Se 0.750 0.250 0.500

The formation energy (no corrections) is 0.384 eV/atom. The space group is I-4m2. As for the volume: 60.0 Å³/cell. Its total moment is 0.0 μB per cell.

---

The following is a PBE calculation of a relaxed TaAgP2 crystal, from Alexandria.

Lattice parameters (Å, degrees): 2.965 2.965 8.146 90.00 90.00 106.54
Fractional positions:
P 0.000 0.000 0.470
P 0.000 0.000 0.030
Ag 0.500 0.500 0.750
Ta 0.500 0.500 0.250

As for the formation energy: 0.0585 eV/atom. The space group is Cmmm. As for the volume: 68.6 Å³/cell. Its total moment is 0.0 μB per cell.

---

The following is a PBE calculation of a relaxed Th3Zn crystal, from Alexandria.

Lattice parameters (Å, degrees): 4.802 4.802 6.001 113.59 113.59 90.00
Fractional positions:
Th 0.250 0.750 0.500
Th 0.750 0.250 0.500
Th 0.500 0.500 0.000
Zn 0.000 0.000 0.000

As for the formation energy: 0.0257 eV/atom. The space group is I4/mmm. As for the volume: 114.1 Å³/cell. Its total moment is 0.0 μB per cell.

---

The following is a PBE calculation of a relaxed Er2ThHgC crystal, from Alexandria.

Lattice parameters (Å, degrees): 5.036 4.876 4.876 90.00 90.00 90.00
Fractional positions:
Er 0.000 0.000 0.500
Er 0.000 0.500 0.000
C 0.000 0.000 0.000
Hg 0.500 0.500 0.500
Th 0.500 0.000 0.000

As for the formation energy: -0.3581 eV/atom. The space group is P4/mmm. As for the volume: 119.8 Å³/cell. Its total moment is 0.0 μB per cell.

---

| no. | energy (eV/atom) |
| --- | --- |
| 1 | -5.49 |
| 2 | -8.79 |
| 3 | -3.78 |
| 4 | -3.22 |
| 5 | -7.38 |
| 6 | -3.30 |
| 7 | -1.85 |
| 8 | -5.92 |
| 9 | -5.79 |
| 10 | -6.32 |
| 11 | -5.86 |
| 12 | -5.57 |